No. 1
Crystalline InRh3O at its relaxed geometry, computed with PBE-GGA.

Computed properties:
As for the space group: Pm-3m (221). The energy relative to the lowest polymorph listed for this composition is 0 meV/atom. Its size of the total moment is 0.000 μB per atom. The calculation puts the uncorrected formation energy at -0.18 eV per formula unit.

abc: 4.179 4.179 4.179
angles: 90.00 90.00 90.00
Positions (direct):
In 0.500 0.500 0.500
Rh 0.000 0.500 0.000
Rh 0.500 0.000 0.000
Rh 0.000 0.000 0.500
O 0.000 0.000 0.000

No. 2
Crystalline GaSiNi6 at its relaxed geometry, computed with PBE-GGA.

Computed properties:
As for the space group: P4/mmm (123). The energy relative to the lowest polymorph listed for this composition is 0 meV/atom. Its size of the total moment is 0.084 μB per atom. The calculation puts the uncorrected formation energy at -2.99 eV per formula unit.

abc: 3.547 3.547 7.075
angles: 90.00 90.00 90.00
Each line ends with the local moment (μB).
Positions (direct):
Ni 0.500 0.500 0.000  0.12
Ni 0.500 0.000 0.741  0.12
Ni 0.500 0.500 0.500  0.14
Ni 0.000 0.500 0.259  0.12
Ni 0.500 0.000 0.259  0.12
Ni 0.000 0.500 0.741  0.12
Ga 0.000 0.000 0.000  -0.01
Si 0.000 0.000 0.500  -0.01

No. 3
Crystalline NaTaS3 at its relaxed geometry, computed with PBE-GGA.

Computed properties:
As for the space group: P1 (1). The energy relative to the lowest polymorph listed for this composition is 32 meV/atom. Its size of the total moment is 0.000 μB per atom. The calculation puts the uncorrected formation energy at -4.90 eV per formula unit.

abc: 3.463 8.187 8.188
angles: 73.47 90.07 90.04
Positions (direct):
S 0.863 0.746 0.434
S 0.863 0.007 0.695
S 0.363 0.366 0.416
S 0.864 0.370 0.803
S 0.363 0.024 0.074
S 0.862 0.637 0.071
Ta 0.364 0.219 0.693
Ta 0.363 0.747 0.222
Na 0.362 0.685 0.756
Na 0.863 0.139 0.301

No. 4
Crystalline Pu2Zn2Os at its relaxed geometry, computed with PBE-GGA.

Computed properties:
As for the space group: Immm (71). Its energy relative to the elements is -32 meV per atom. Its size of the total moment is 2.101 μB per atom.

abc: 4.733 4.724 5.619
angles: 114.85 114.91 90.00
Each line ends with the local moment (μB).
Positions (direct):
Os 0.000 0.000 0.000  -0.59
Zn 0.500 0.749 0.000  0.00
Zn 0.500 0.251 0.000  0.00
Pu 0.815 0.315 0.631  5.24
Pu 0.185 0.685 0.369  5.24

No. 5
Crystalline MgReOs2 at its relaxed geometry, computed with PBE-GGA.

Computed properties:
As for the space group: Pm (6). Its energy relative to the elements is 281 meV per atom. Its size of the total moment is 0.000 μB per atom.

abc: 4.071 2.787 5.925
angles: 62.45 90.00 90.00
Positions (direct):
Os 0.500 0.240 0.262
Os 0.000 0.019 0.981
Mg 0.500 0.738 0.761
Re 0.000 0.503 0.496

No. 6
Crystalline PuMgGe at its relaxed geometry, computed with PBE-GGA.

Computed properties:
As for the space group: P3m1 (156). Its energy relative to the elements is -225 meV per atom. Its size of the total moment is 2.071 μB per atom.

abc: 3.439 4.730 4.730
angles: 120.00 90.00 90.00
Each line ends with the local moment (μB).
Positions (direct):
Mg 0.166 0.333 0.667  0.03
Ge 0.168 0.000 0.000  -0.02
Pu 0.666 0.667 0.333  5.58

No. 7
Crystalline VFeH at its relaxed geometry, computed with PBE-GGA.

Computed properties:
As for the space group: I4mm (107). The energy relative to the lowest polymorph listed for this composition is 294 meV/atom. Its size of the total moment is 0.000 μB per atom.

abc: 2.842 2.842 4.057
angles: 110.50 110.50 90.00
Positions (direct):
Fe 0.592 0.592 0.184
H 0.349 0.349 0.699
V 0.908 0.908 0.817

No. 8
Crystalline Pm3Nd4Ga at its relaxed geometry, computed with PBE-GGA.

Computed properties:
As for the space group: P4/mmm (123). Its energy relative to the elements is -115 meV per atom. Its size of the total moment is 0.000 μB per atom.

abc: 3.671 3.671 19.388
angles: 90.00 90.00 90.00
Positions (direct):
Nd 0.000 0.000 0.904
Nd 0.000 0.000 0.366
Nd 0.000 0.000 0.096
Nd 0.000 0.000 0.634
Ga 0.500 0.500 0.000
Pm 0.500 0.500 0.233
Pm 0.500 0.500 0.500
Pm 0.500 0.500 0.767

No. 9
Crystalline GaBiHPb2 at its relaxed geometry, computed with PBE-GGA.

Computed properties:
As for the space group: P4/mmm (123). The energy relative to the lowest polymorph listed for this composition is 72 meV/atom. Its size of the total moment is 0.000 μB per atom.

abc: 5.137 5.137 4.591
angles: 90.00 90.00 90.00
Positions (direct):
Bi 0.500 0.500 0.500
H 0.000 0.000 0.000
Pb 0.500 0.000 0.000
Pb 0.000 0.500 0.000
Ga 0.000 0.000 0.500

No. 10
Crystalline MgRe4Si at its relaxed geometry, computed with PBE-GGA.

Computed properties:
As for the space group: F-43m (216). Its size of the total moment is 0.000 μB per atom. The calculation puts the uncorrected formation energy at 3.18 eV per formula unit.

abc: 5.196 5.196 5.196
angles: 60.00 60.00 60.00
Positions (direct):
Si 0.250 0.250 0.250
Re 0.625 0.625 0.126
Re 0.126 0.625 0.625
Re 0.625 0.126 0.625
Re 0.625 0.625 0.625
Mg 0.000 0.000 0.000

No. 11
Crystalline K3SiPb at its relaxed geometry, computed with PBE-GGA.

Computed properties:
As for the space group: Pm-3m (221). Its size of the total moment is 0.608 μB per atom. The calculation puts the uncorrected formation energy at 2.62 eV per formula unit.

abc: 6.368 6.368 6.368
angles: 90.00 90.00 90.00
Each line ends with the local moment (μB).
Positions (direct):
K 0.500 0.000 0.000  0.03
K 0.000 0.000 0.500  0.04
K 0.000 0.500 0.000  0.03
Si 0.000 0.000 0.000  0.46
Pb 0.500 0.500 0.500  0.33

No. 12
Crystalline Ti2V7Mo2 at its relaxed geometry, computed with PBE-GGA.

Computed properties:
As for the space group: C2/m (12). Its energy relative to the elements is 171 meV per atom. Its size of the total moment is 0.000 μB per atom.

abc: 4.745 4.745 7.519
angles: 92.11 92.11 103.61
Positions (direct):
Ti 0.718 0.282 0.500
Ti 0.282 0.718 0.500
V 0.826 0.430 0.868
V 0.570 0.174 0.132
V 0.701 0.701 0.257
V 0.000 0.000 0.000
V 0.299 0.299 0.743
V 0.174 0.570 0.132
V 0.430 0.826 0.868
Mo 0.837 0.837 0.663
Mo 0.163 0.163 0.337

Q: What is the formula in the first record?
A: InRh3O